DFT (GGA-PBE) results for a relaxed BaZr5 crystal.

Unit cell a=3.265 b=3.265 c=15.074 alpha=90.00 beta=90.00 gamma=90.00
Fractional coordinates of all 6 atoms:
Zr  0.500  0.500  0.647
Zr  0.000  0.000  0.212
Zr  0.000  0.000  0.500
Zr  0.500  0.500  0.353
Zr  0.000  0.000  0.788
Ba  0.500  0.500  0.000

Summary:
Its electronic total energy is -43.3 eV per cell. The calculation puts the energy relative to the elements at 0.226 eV per atom.